Material: TcSb2P
Method: DFT, PBE
State: relaxed

The structure belongs to space group Cmm2 (No. 35); the cell edges are 3.259, 5.319 and 9.788 Å and the angles 90.00°, 90.00° and 90.00°. The distinct sites, in fractional coordinates, are Tc at (0.000, 0.000, 0.000), Sb at (0.000, 0.000, 0.449), Sb at (0.000, 0.500, 0.758) and P at (0.000, 0.500, 0.162).

The electronic total energy comes out at -5.686 eV per atom. Its magnetic moment is 0.00 Bohr magnetons per cell. The crystal system is orthorhombic.

***

Material: TcSb2P
Method: DFT, PBE
State: relaxed

The structure belongs to space group Cm (No. 8); the cell edges are 7.926, 3.285 and 7.091 Å and the angles 90.00°, 97.09° and 90.00°. The distinct sites, in fractional coordinates, are Tc at (0.000, 0.000, 0.000), Sb at (0.024, 0.500, 0.329), Sb at (0.274, 0.000, 0.748) and P at (0.217, 0.500, 0.071).

The electronic total energy comes out at -6.034 eV per atom. Its magnetic moment is 0.00 Bohr magnetons per cell. The crystal system is monoclinic.

***

Material: Tc2SbP
Method: DFT, PBE
State: relaxed

The structure belongs to space group Imm2 (No. 44); the cell edges are 3.107, 3.210 and 13.264 Å and the angles 90.00°, 90.00° and 90.00°. The distinct sites, in fractional coordinates, are Tc at (0.000, 0.000, 0.000), Tc at (0.000, 0.500, 0.300), Sb at (0.000, 0.500, 0.679) and P at (0.000, 0.000, 0.432).

Its magnetic moment is 0.00 Bohr magnetons per cell. The crystal system is orthorhombic. The offset from the most stable computed form comes out at 0 meV per atom.

***

Material: Tc2SbP
Method: DFT, PBE
State: relaxed

The structure belongs to space group F-43m (No. 216); the cell edges are 6.387, 6.387 and 6.387 Å and the angles 90.00°, 90.00° and 90.00°. The distinct sites, in fractional coordinates, are Tc at (0.000, 0.000, 0.000), Tc at (0.250, 0.250, 0.250), Sb at (0.000, 0.000, 0.500) and P at (0.250, 0.250, 0.750).

Its magnetic moment is 0.01 Bohr magnetons per cell. The crystal system is cubic. The offset from the most stable computed form comes out at 749 meV per atom.